! PBE Pm2Sm2DyY4, relaxed; values from VASP
&SYSTEM
  ibrav = 0, nat = 9, ntyp = 4
/
ATOMIC_SPECIES
Pm 145.00 Pm.upf
Y 88.91 Y.upf
Sm 150.36 Sm.upf
Dy 162.50 Dy.upf
ATOMIC_POSITIONS angstrom
Pm -2.323 8.144 2.886
Y 1.054 2.204 2.612
Pm 3.408 -1.639 5.041
Sm 1.229 1.039 6.045
Y -2.159 2.652 1.028
Sm -0.144 5.465 1.881
Y 0.030 4.300 5.314
Y 3.243 3.852 6.899
Dy 0.000 0.000 0.000
CELL_PARAMETERS angstrom
-3.051 -0.711 1.831
6.622 -2.101 6.620
-2.486 9.316 -0.525
! SG: C2/m
! Calculated total energy, eV per atom: -5.49
! Calculated density, g/cm³: 6.19